Record 1
A relaxed La2Pr2Y5 crystal, computed with PBE.

```
18
Lattice="-7.5941 6.0337 3.4292 7.5941 -6.0337 3.4292 7.5941 6.0337 -3.4292" Properties=species:S:1:pos:R:3 pbc="T T T"
La 1.9321 0.0160 0.0000
La 5.6620 0.0160 0.0000
La 1.9321 6.0176 3.4292
La 5.6620 6.0176 3.4292
Pr 3.7971 5.9509 -0.3035
Pr 3.7971 0.0827 3.1257
Pr 0.0000 6.0337 0.3068
Pr 0.0000 0.0000 3.7360
Y 8.3996 3.0879 -0.9508
Y 6.7887 -2.9458 2.4783
Y 11.3912 2.9018 1.0326
Y 2.1691 3.2397 1.1798
Y 5.4250 3.2397 1.1798
Y -0.8054 2.9458 2.4783
Y 8.3996 2.9458 2.4783
Y -2.1691 8.8276 1.1798
Y 2.1691 2.7939 4.6089
Y -3.7971 3.1318 4.4618
```

Values from the calculation:
SG: Ima2, No. 46
Energy above the lowest structure with this stoichiometry: 0.0581 eV/atom
Crystal system: orthorhombic

Record 2
A relaxed ScTiP2S crystal, computed with PBE.

```
5
Lattice="4.8545 0.0000 0.0000 0.0000 4.8545 0.0000 0.0000 0.0000 4.8049" Properties=species:S:1:pos:R:3 pbc="T T T"
Sc 0.0000 0.0000 0.0000
Ti 2.4272 2.4272 2.4024
P 0.0000 2.4272 0.0000
P 2.4272 0.0000 0.0000
S 0.0000 0.0000 2.4024
```

Values from the calculation:
SG: P4/mmm, No. 123
E_form (uncorrected): 0.213 eV/atom
Energy above the lowest structure with this stoichiometry: 0.6051 eV/atom
Crystal system: tetragonal

Record 3
A relaxed CaAlHg crystal, computed with PBE.

```
3
Lattice="0.0000 3.5575 3.5575 3.5575 0.0000 3.5575 3.5575 3.5575 0.0000" Properties=species:S:1:pos:R:3 pbc="T T T"
Ca 0.0000 0.0000 0.0000
Al 5.3363 5.3363 5.3363
Hg 1.7788 1.7788 1.7788
```

Values from the calculation:
SG: F-43m, No. 216
Energy above the lowest structure with this stoichiometry: 0.6253 eV/atom
Crystal system: cubic

Record 4
A relaxed KPuReN3 crystal, computed with PBE.

```
12
Lattice="6.6938 -1.9230 0.0000 6.6938 1.9230 0.0000 -1.8393 0.0000 7.4320" Properties=species:S:1:pos:R:3 pbc="T T T"
K 1.7759 0.0000 0.4741
K 9.7724 0.0000 6.9579
Pu 1.0857 0.0000 4.3510
Pu 10.4627 0.0000 3.0810
Re 5.4211 0.0000 4.8866
Re 6.1272 0.0000 2.5454
N -0.4673 0.0000 2.3314
N 3.3445 0.0000 4.5061
N 4.2821 0.0000 1.7634
N 7.2662 0.0000 5.6686
N 8.2039 0.0000 2.9258
N 12.0156 0.0000 5.1006
```

Values from the calculation:
SG: C2/m, No. 12
E_form (uncorrected): -0.540 eV/atom
Crystal system: monoclinic

Record 5
A relaxed BaIO2F crystal, computed with PBE.

```
5
Lattice="4.2335 0.0000 0.0000 0.0000 4.2335 0.0000 0.0000 0.0000 5.5646" Properties=species:S:1:pos:R:3 pbc="T T T"
Ba 0.0000 0.0000 0.0000
I 2.1168 2.1168 2.7823
O 0.0000 2.1168 2.7823
O 2.1168 0.0000 2.7823
F 2.1168 2.1168 0.0000
```

Values from the calculation:
SG: P4/mmm, No. 123
E_form (uncorrected): -1.418 eV/atom
Crystal system: tetragonal

Record 6
A relaxed CaBe2H7 crystal, computed with PBE.

```
10
Lattice="2.4079 -4.3276 0.0000 2.4079 4.3276 0.0000 0.0000 0.0000 3.2911" Properties=species:S:1:pos:R:3 pbc="T T T"
Ca 0.0000 0.0000 0.0000
Be 2.4079 1.7862 1.6455
Be 2.4079 -1.7862 1.6455
H 1.0071 1.1660 1.6455
H 2.4079 1.8765 0.0000
H 1.0071 -1.1660 1.6455
H 2.4079 0.0000 1.6455
H 3.8086 1.1660 1.6455
H 2.4079 -1.8765 0.0000
H 3.8086 -1.1660 1.6455
```

Values from the calculation:
SG: Cmmm, No. 65
Crystal system: orthorhombic
Electronic total energy: -3.238 eV per atom